Here is an optimized crystal structure of TcAsPd3 from Alexandria via LeMat-Bulk. Energies are from PBE-GGA.

a = 4.7637 Å, b = 4.7637 Å, c = 4.7637 Å
α = 90.00°, β = 90.00°, γ = 90.00°
Space group Pm-3m (No. 221)
Symmetry-distinct sites (fractional):
Tc 0.0000 0.0000 0.0000 x1
As 0.5000 0.5000 0.5000 x1
Pd 0.0000 0.0000 0.5000 x3

Calculated values
N(E_F) = 7.3 states/eV per cell
Theoretical density = 7.56 g/cm³
Total DFT energy (no corrections) = -4.8645 eV/atom
Total magnetization = 0.000 μB per cell
E above lowest polymorph = 625 meV per atom
ΔH_f (0 K) = 1.254 eV/atom